Entry 1:
VASP calculation (GGA-PBE) on ErMg9Cd3 after structural relaxation.

Properties
- ρ: 4.04 g cm⁻³
- Total magnetic moment: 0.00 μB/f.u.
- Energy of formation from the pure elements: -103 kJ/mol of formula units
- Crystal system: monoclinic
- Symmetry: C2/m (12)
- DFT total energy: -0.064 Ha/atom

Unit cell a=5.889 b=7.664 c=7.674 alpha=81.83 beta=67.44 gamma=68.26
Sites, in units of the cell vectors:
Mg1 0.498 0.790 0.212
Cd1 0.500 0.500 0.000
Mg2 0.290 0.210 0.212
Mg3 0.502 0.210 0.788
Mg4 0.000 0.500 0.000
Er1 0.000 0.000 0.000
Cd2 0.500 0.000 0.500
Mg5 0.347 0.653 0.649
Mg6 0.004 0.347 0.649
Mg7 0.653 0.347 0.351
Mg8 0.710 0.790 0.788
Mg9 0.996 0.653 0.351
Cd3 0.000 0.000 0.500



Entry 2:
VASP calculation (GGA-PBE) on ErMg2Cd3 after structural relaxation.

Properties
- ρ: 6.67 g cm⁻³
- Total magnetic moment: 0.00 μB/f.u.
- Energy of formation from the pure elements: -110 kJ/mol of formula units
- Crystal system: hexagonal
- Symmetry: P6_3/mmc (194)
- E above lowest polymorph: 0.0000 eV/atom
- DFT total energy: -0.071 Ha/atom

Unit cell a=4.913 b=4.913 c=13.167 alpha=90.00 beta=90.00 gamma=120.00
Sites, in units of the cell vectors:
Mg1 0.333 0.667 0.899
Mg2 0.667 0.333 0.101
Cd1 0.333 0.667 0.364
Er1 0.000 0.000 0.250
Cd2 0.000 0.000 0.000
Cd3 0.667 0.333 0.864
Cd4 0.667 0.333 0.636
Mg3 0.667 0.333 0.399
Er2 0.000 0.000 0.750
Cd5 0.000 0.000 0.500
Cd6 0.333 0.667 0.136
Mg4 0.333 0.667 0.601



Entry 3:
VASP calculation (GGA-PBE) on ErMg5Cd6 after structural relaxation.

Properties
- ρ: 5.99 g cm⁻³
- Total magnetic moment: 0.00 μB/f.u.
- Energy of formation from the pure elements: -173 kJ/mol of formula units
- Crystal system: orthorhombic
- Symmetry: Cmmm (65)
- DFT total energy: -0.061 Ha/atom

Unit cell a=4.812 b=7.655 c=7.635 alpha=90.00 beta=90.00 gamma=71.68
Sites, in units of the cell vectors:
Mg1 0.331 0.338 0.500
Mg2 0.335 0.330 0.000
Cd1 0.170 0.661 0.252
Cd2 0.500 0.000 0.265
Er1 0.000 0.000 0.000
Mg3 0.000 0.000 0.500
Cd3 0.830 0.339 0.252
Cd4 0.830 0.339 0.748
Mg4 0.669 0.662 0.500
Mg5 0.665 0.670 0.000
Cd5 0.500 0.000 0.735
Cd6 0.170 0.661 0.748



Entry 4:
VASP calculation (GGA-PBE) on ErMg5Cd3 after structural relaxation.

Properties
- ρ: 5.02 g cm⁻³
- Total magnetic moment: 0.00 μB/f.u.
- Energy of formation from the pure elements: -104 kJ/mol of formula units
- Crystal system: hexagonal
- Symmetry: P6_3/mcm (193)
- DFT total energy: -0.067 Ha/atom

Unit cell a=6.242 b=8.754 c=8.753 alpha=120.00 beta=90.00 gamma=90.00
Sites, in units of the cell vectors:
Mg1 0.750 0.657 0.657
Mg2 0.500 0.333 0.667
Mg3 0.000 0.667 0.333
Cd1 0.750 0.673 0.000
Mg4 0.000 0.333 0.667
Mg5 0.750 0.000 0.343
Er1 0.000 0.000 0.000
Mg6 0.250 0.343 0.343
Cd2 0.250 0.000 0.327
Cd3 0.750 0.327 0.327
Mg7 0.750 0.343 0.000
Cd4 0.250 0.673 0.673
Mg8 0.250 0.000 0.657
Cd5 0.750 0.000 0.673
Cd6 0.250 0.327 0.000
Mg9 0.250 0.657 0.000
Mg10 0.500 0.667 0.333
Er2 0.500 0.000 0.000



Entry 5:
VASP calculation (GGA-PBE) on ErMg4Cd after structural relaxation.

Properties
- ρ: 4.32 g cm⁻³
- Total magnetic moment: 0.00 μB/f.u.
- Energy of formation from the pure elements: -27 kJ/mol of formula units
- Crystal system: orthorhombic
- Symmetry: Pmma (51)
- E above lowest polymorph: 0.0151 eV/atom
- DFT total energy: -0.074 Ha/atom

Unit cell a=4.712 b=7.821 c=7.861 alpha=90.00 beta=90.00 gamma=90.00
Sites, in units of the cell vectors:
Mg1 0.500 0.548 0.316
Mg2 0.500 0.952 0.316
Mg3 0.500 0.452 0.684
Mg4 0.000 0.000 0.000
Mg5 0.500 0.750 0.951
Cd1 0.000 0.250 0.751
Mg6 0.000 0.500 0.000
Er1 0.000 0.750 0.633
Mg7 0.500 0.250 0.049
Cd2 0.000 0.750 0.249
Mg8 0.500 0.048 0.684
Er2 0.000 0.250 0.367



Entry 6:
VASP calculation (GGA-PBE) on ErMg6Cd2 after structural relaxation.

Properties
- ρ: 4.26 g cm⁻³
- Total magnetic moment: 0.00 μB/f.u.
- Energy of formation from the pure elements: -66 kJ/mol of formula units
- Crystal system: monoclinic
- Symmetry: C2/m (12)
- E above lowest polymorph: 0.0000 eV/atom
- DFT total energy: -0.068 Ha/atom

Unit cell a=4.257 b=7.408 c=7.315 alpha=107.48 beta=106.92 gamma=90.00
Sites, in units of the cell vectors:
Mg1 0.605 0.154 0.211
Mg2 0.826 0.500 0.651
Mg3 0.395 0.846 0.789
Mg4 0.174 0.500 0.349
Er1 0.500 0.500 0.000
Cd1 0.061 0.832 0.121
Cd2 0.939 0.168 0.879
Mg5 0.723 0.839 0.446
Mg6 0.277 0.161 0.554



Entry 7:
VASP calculation (GGA-PBE) on Er5Mg2Cd2 after structural relaxation.

Properties
- ρ: 7.30 g cm⁻³
- Total magnetic moment: 0.00 μB/f.u.
- Energy of formation from the pure elements: -7 kJ/mol of formula units
- Crystal system: orthorhombic
- Symmetry: Cmce (64)
- DFT total energy: -0.114 Ha/atom

Unit cell a=7.585 b=7.690 c=9.477 alpha=113.93 beta=90.00 gamma=90.00
Sites, in units of the cell vectors:
Er1 0.178 0.456 0.283
Mg1 0.624 0.874 0.000
Mg2 0.124 0.626 0.000
Er2 0.822 0.544 0.717
Er3 0.000 0.000 0.000
Cd1 0.000 0.219 0.439
Er4 0.178 0.173 0.717
Er5 0.322 0.956 0.283
Mg3 0.376 0.126 0.000
Er6 0.678 0.044 0.717
Cd2 0.500 0.281 0.561
Er7 0.322 0.673 0.717
Cd3 0.500 0.719 0.439
Er8 0.822 0.827 0.283
Er9 0.678 0.327 0.283
Mg4 0.876 0.374 0.000
Er10 0.500 0.500 0.000
Cd4 0.000 0.781 0.561



Entry 8:
VASP calculation (GGA-PBE) on Er3Mg3Cd2 after structural relaxation.

Properties
- ρ: 6.28 g cm⁻³
- Total magnetic moment: 0.00 μB/f.u.
- Energy of formation from the pure elements: -86 kJ/mol of formula units
- Crystal system: hexagonal
- Symmetry: P-62m (189)
- E above lowest polymorph: 0.0662 eV/atom
- DFT total energy: -0.097 Ha/atom

Unit cell a=3.852 b=7.963 c=7.963 alpha=120.00 beta=90.00 gamma=90.00
Sites, in units of the cell vectors:
Mg1 0.000 0.767 0.767
Cd1 0.000 0.333 0.667
Mg2 0.000 0.000 0.233
Mg3 0.000 0.233 0.000
Cd2 0.000 0.667 0.333
Er1 0.500 0.404 0.404
Er2 0.500 0.000 0.596
Er3 0.500 0.596 0.000